Compound: La2WBr
Source: Alexandria via LeMat-Bulk
Functional: PBE
Structure: optimized geometry

ΔE_f (raw) = -0.222 eV per atom
Magnetization = 0.00 Bohr magnetons per cell
SG = P4/mmm

The structure in POSCAR format:
```
La2WBr
1.0
3.558 0.000 0.000
0.000 3.558 0.000
0.000 0.000 8.590
La W Br
2 1 1
Cartesian
0.000 0.000 3.995 La
0.000 0.000 0.300 La
1.779 1.779 2.147 W
1.779 1.779 6.442 Br
```

***

Compound: CePuCdO6
Source: Alexandria via LeMat-Bulk
Functional: PBE
Structure: optimized geometry

ΔE_f (raw) = -2.409 eV per atom
Magnetization = 4.01 Bohr magnetons per cell
SG = P-31c

The structure in POSCAR format:
```
CePuCdO6
1.0
5.602 0.000 0.000
-2.801 4.851 0.000
0.000 0.000 9.888
O Ce Cd Pu
12 2 2 2
Cartesian
0.916 4.677 8.594 O
3.717 0.174 3.650 O
-0.792 1.720 6.239 O
1.885 0.174 1.295 O
0.792 1.720 8.594 O
4.509 1.546 1.295 O
1.708 3.306 6.239 O
1.093 1.546 3.650 O
-1.708 3.306 8.594 O
3.593 3.132 3.650 O
2.009 3.132 1.295 O
-0.916 4.677 6.239 O
0.000 0.000 0.000 Ce
0.000 0.000 4.944 Ce
0.000 3.234 2.472 Cd
2.801 1.617 7.416 Cd
2.801 1.617 2.472 Pu
0.000 3.234 7.416 Pu
```

***

Compound: BeAgCl4
Source: Alexandria via LeMat-Bulk
Functional: PBE
Structure: optimized geometry

ΔE_f (raw) = -0.831 eV per atom
Magnetization = 0.92 Bohr magnetons per cell
SG = I-4

The structure in POSCAR format:
```
BeAgCl4
1.0
6.113 0.000 -3.243
3.056 4.761 -1.622
-0.825 0.000 5.827
Be Cl Ag
1 4 1
Cartesian
5.700 2.381 -0.330 Be
0.629 0.702 2.429 Cl
6.685 4.059 -0.920 Cl
3.900 2.320 -1.275 Cl
5.474 2.441 1.691 Cl
3.056 0.000 -1.622 Ag
```

***

Compound: BaYCd2
Source: Alexandria via LeMat-Bulk
Functional: PBE
Structure: optimized geometry

Magnetization = 0.13 Bohr magnetons per cell
Energy relative to the elements = -0.094 eV per atom
SG = P4mm

The structure in POSCAR format:
```
BaYCd2
1.0
4.004 0.000 0.000
0.000 4.004 0.000
0.000 0.000 8.317
Y Cd Ba
1 2 1
Cartesian
0.000 0.000 3.536 Y
0.000 0.000 0.385 Cd
2.002 2.002 2.048 Cd
2.002 2.002 6.507 Ba
```

***

Compound: MnZn2Cu2
Source: Alexandria via LeMat-Bulk
Functional: PBE
Structure: optimized geometry

Magnetization = 0.00 Bohr magnetons per cell
Energy relative to the elements = 0.296 eV per atom
SG = P4/mbm

The structure in POSCAR format:
```
MnZn2Cu2
1.0
7.030 0.000 0.000
0.000 7.030 0.000
0.000 0.000 2.606
Zn Cu Mn
4 4 2
Cartesian
6.099 4.446 0.000 Zn
4.446 0.931 0.000 Zn
0.931 2.584 0.000 Zn
2.584 6.099 0.000 Zn
5.851 2.336 1.303 Cu
2.336 1.180 1.303 Cu
4.695 5.851 1.303 Cu
1.180 4.695 1.303 Cu
0.000 0.000 0.000 Mn
3.515 3.515 0.000 Mn
```

***

Compound: TmPu2Tl3S6
Source: Alexandria via LeMat-Bulk
Functional: PBE
Structure: optimized geometry

ΔE_f (raw) = -1.294 eV per atom
Magnetization = 10.00 Bohr magnetons per cell
SG = C2/m

The structure in POSCAR format:
```
TmPu2Tl3S6
1.0
-0.468 -2.807 -6.408
-0.416 -4.111 5.665
-7.131 3.237 0.380
Tl S Tm Pu
3 6 1 2
Cartesian
-4.025 -1.407 -4.195 Tl
-3.990 -2.274 3.832 Tl
-4.008 -1.840 -0.181 Tl
-6.431 -2.509 -2.254 S
-6.414 -2.939 1.721 S
-1.602 -0.742 -2.084 S
-5.966 0.777 0.110 S
-2.049 -4.457 -0.472 S
-1.585 -1.172 1.891 S
0.000 0.000 0.000 Tm
-0.451 -3.242 -2.383 Pu
-0.433 -3.676 1.640 Pu
```

***

Compound: LiFeHg2
Source: Alexandria via LeMat-Bulk
Functional: PBE
Structure: optimized geometry

Magnetization = 2.54 Bohr magnetons per cell
Energy relative to the elements = 0.065 eV per atom
SG = P4/mmm

The structure in POSCAR format:
```
LiFeHg2
1.0
-2.633 -3.388 2.052
1.445 -2.113 -1.634
3.253 -0.443 3.442
Li Hg Fe
1 2 1
Cartesian
2.125 -1.487 0.272 Li
3.028 -0.652 2.808 Hg
0.083 -2.124 2.111 Hg
2.432 -3.402 3.015 Fe
```

***

Compound: Pm2Zn6In3
Source: Alexandria via LeMat-Bulk
Functional: PBE
Structure: optimized geometry

Magnetization = 0.00 Bohr magnetons per cell
Energy relative to the elements = -0.133 eV per atom
SG = Cmmm

The structure in POSCAR format:
```
Pm2Zn6In3
1.0
4.355 0.000 0.000
0.000 7.471 -0.445
0.000 0.378 7.475
In Zn Pm
3 6 2
Cartesian
0.000 6.065 5.432 In
0.000 1.784 1.598 In
2.177 0.000 0.000 In
2.177 3.052 2.734 Zn
2.177 5.210 6.897 Zn
2.177 2.639 0.133 Zn
2.177 0.421 2.608 Zn
2.177 4.797 4.296 Zn
2.177 7.428 4.422 Zn
0.000 5.448 1.814 Pm
0.000 2.401 5.216 Pm
```

***

Compound: NbTlSe2
Source: Alexandria via LeMat-Bulk
Functional: PBE
Structure: optimized geometry

ΔE_f (raw) = -0.641 eV per atom
Magnetization = 0.00 Bohr magnetons per cell
SG = P-1

The structure in POSCAR format:
```
NbTlSe2
1.0
3.486 0.051 0.008
-1.521 10.268 -0.317
0.026 0.088 5.561
Tl Nb Se
2 2 4
Cartesian
0.329 3.906 2.435 Tl
3.122 1.640 5.314 Tl
1.815 8.752 2.820 Nb
0.107 7.060 4.615 Nb
0.096 6.943 2.005 Se
1.885 5.097 4.872 Se
1.559 0.448 2.879 Se
1.800 8.781 -0.132 Se
```

***

Compound: ZrOs2Ru2
Source: Alexandria via LeMat-Bulk
Functional: PBE
Structure: optimized geometry

Magnetization = 0.00 Bohr magnetons per cell
Energy relative to the elements = -0.019 eV per atom
SG = P4/mbm

The structure in POSCAR format:
```
ZrOs2Ru2
1.0
7.540 0.000 0.000
0.000 7.540 0.000
0.000 0.000 2.788
Ru Os Zr
4 4 2
Cartesian
0.921 2.848 0.000 Ru
2.848 6.618 0.000 Ru
4.691 0.921 0.000 Ru
6.618 4.691 0.000 Ru
5.077 6.233 1.394 Os
6.233 2.463 1.394 Os
1.307 5.077 1.394 Os
2.463 1.307 1.394 Os
3.770 3.770 0.000 Zr
0.000 0.000 0.000 Zr
```

***

Compound: ZnSiI3
Source: Alexandria via LeMat-Bulk
Functional: PBE
Structure: optimized geometry

ΔE_f (raw) = 0.192 eV per atom
Magnetization = 0.00 Bohr magnetons per cell
SG = Pm-3m

The structure in POSCAR format:
```
ZnSiI3
1.0
5.609 0.000 0.000
0.000 5.609 0.000
0.000 0.000 5.609
Si Zn I
1 1 3
Cartesian
0.000 0.000 0.000 Si
2.804 2.804 2.804 Zn
0.000 0.000 2.804 I
0.000 2.804 0.000 I
2.804 0.000 0.000 I
```

***

Compound: LiTiI3
Source: Alexandria via LeMat-Bulk
Functional: PBE
Structure: optimized geometry

ΔE_f (raw) = -0.020 eV per atom
Magnetization = 2.00 Bohr magnetons per cell
SG = Pm-3m

The structure in POSCAR format:
```
LiTiI3
1.0
-0.525 2.578 4.736
-4.627 -2.659 0.934
2.768 -3.954 2.460
I Li Ti
3 1 1
Cartesian
-2.314 -1.329 0.467 I
-0.263 1.289 2.368 I
1.384 -1.977 1.230 I
0.000 0.000 0.000 Li
-1.192 -2.017 4.065 Ti
```

***

Compound: TbMgHgPd
Source: Alexandria via LeMat-Bulk
Functional: PBE
Structure: optimized geometry

Magnetization = 0.00 Bohr magnetons per cell
Energy relative to the elements = -0.580 eV per atom
SG = F-43m

The structure in POSCAR format:
```
TbMgHgPd
1.0
4.939 0.000 0.000
2.469 4.277 0.000
2.469 1.426 4.032
Tb Mg Pd Hg
1 1 1 1
Cartesian
7.408 4.277 3.024 Tb
2.469 1.426 1.008 Mg
0.000 0.000 0.000 Pd
4.939 2.851 2.016 Hg
```

***

Compound: CuSe2Cl
Source: Alexandria via LeMat-Bulk
Functional: PBE
Structure: optimized geometry

ΔE_f (raw) = 0.585 eV per atom
Magnetization = 0.00 Bohr magnetons per cell
SG = Fm-3m

The structure in POSCAR format:
```
CuSe2Cl
1.0
0.000 3.319 3.319
3.319 0.000 3.319
3.319 3.319 0.000
Se Cu Cl
2 1 1
Cartesian
4.978 4.978 4.978 Se
1.659 1.659 1.659 Se
3.319 3.319 3.319 Cu
0.000 0.000 0.000 Cl
```

***

Compound: TbEr5Tm2
Source: Alexandria via LeMat-Bulk
Functional: PBE
Structure: optimized geometry

Magnetization = 0.00 Bohr magnetons per cell
Energy relative to the elements = 0.020 eV per atom
SG = Pbam

The structure in POSCAR format:
```
TbEr5Tm2
1.0
4.945 0.000 0.000
0.000 6.998 0.000
0.000 0.000 13.995
Er Tm Tb
10 4 2
Cartesian
0.000 3.493 10.492 Er
0.000 3.499 6.998 Er
0.000 0.000 0.000 Er
2.472 5.243 8.751 Er
0.000 6.992 10.501 Er
2.472 1.754 5.245 Er
0.000 0.006 3.494 Er
2.472 5.253 1.753 Er
2.472 1.744 12.243 Er
0.000 3.505 3.504 Er
2.472 1.746 8.751 Tm
2.472 5.245 12.242 Tm
2.472 1.753 1.753 Tm
2.472 5.251 5.244 Tm
0.000 3.499 0.000 Tb
0.000 0.000 6.998 Tb
```

***

Compound: SiAg2CN
Source: Alexandria via LeMat-Bulk
Functional: PBE
Structure: optimized geometry

ΔE_f (raw) = 1.552 eV per atom
Magnetization = 1.10 Bohr magnetons per cell
SG = P4/mmm

The structure in POSCAR format:
```
SiAg2CN
1.0
4.532 0.000 0.000
0.000 3.519 0.000
0.000 0.000 4.532
N Ag C Si
1 2 1 1
Cartesian
2.266 1.760 2.266 N
0.000 0.000 2.266 Ag
2.266 0.000 0.000 Ag
0.000 0.000 0.000 C
0.000 1.760 0.000 Si
```

***

Compound: ErTm2AlAu4
Source: Alexandria via LeMat-Bulk
Functional: PBE
Structure: optimized geometry

Magnetization = 0.00 Bohr magnetons per cell
Energy relative to the elements = -0.783 eV per atom
SG = R-3m

The structure in POSCAR format:
```
ErTm2AlAu4
1.0
4.899 0.000 0.000
2.449 4.242 0.000
2.449 1.414 8.121
Er Au Tm Al
1 4 2 1
Cartesian
0.000 0.000 0.000 Er
4.899 2.828 1.100 Au
7.348 4.242 2.976 Au
4.899 2.828 7.020 Au
2.449 1.414 5.145 Au
2.449 1.414 2.180 Tm
7.348 4.242 5.940 Tm
4.899 2.828 4.060 Al
```

***

Compound: Be2CuAu
Source: Alexandria via LeMat-Bulk
Functional: PBE
Structure: optimized geometry

Magnetization = 0.00 Bohr magnetons per cell
Energy relative to the elements = 0.054 eV per atom
SG = C2/m

The structure in POSCAR format:
```
Be2CuAu
1.0
4.226 0.019 0.062
3.262 2.687 0.062
1.132 0.409 4.263
Cu Au Be
1 1 2
Cartesian
6.464 2.336 3.290 Cu
2.155 0.779 1.097 Au
1.135 0.410 4.140 Be
4.306 1.556 2.316 Be
```

***

Compound: SmDyHo2Sc
Source: Alexandria via LeMat-Bulk
Functional: PBE
Structure: optimized geometry

Magnetization = 0.00 Bohr magnetons per cell
Energy relative to the elements = 0.339 eV per atom
SG = Cmcm

The structure in POSCAR format:
```
SmDyHo2Sc
1.0
7.064 0.000 0.000
0.000 8.169 0.000
0.000 -4.085 5.606
Ho Sm Sc Dy
4 2 2 2
Cartesian
3.532 2.476 0.000 Ho
0.000 5.693 0.000 Ho
3.532 5.693 0.000 Ho
0.000 2.476 0.000 Ho
5.298 0.000 3.022 Sm
1.766 4.085 2.584 Sm
5.298 0.000 0.037 Sc
1.766 4.085 5.569 Sc
5.298 4.085 2.608 Dy
1.766 0.000 2.998 Dy
```

***

Compound: NdEr4Tm5
Source: Alexandria via LeMat-Bulk
Functional: PBE
Structure: optimized geometry

Magnetization = 0.00 Bohr magnetons per cell
Energy relative to the elements = 0.311 eV per atom
SG = I4

The structure in POSCAR format:
```
NdEr4Tm5
1.0
6.263 0.000 0.000
3.131 7.134 0.000
3.131 0.000 7.134
Tm Er Nd
5 4 1
Cartesian
9.074 2.689 6.478 Tm
4.258 0.000 0.000 Tm
5.943 6.478 4.445 Tm
2.811 4.445 0.656 Tm
5.943 0.656 2.689 Tm
2.836 2.126 2.861 Er
9.098 5.008 4.273 Er
5.967 2.861 5.008 Er
5.967 4.273 2.126 Er
1.400 0.000 0.000 Nd
```

***

Number 1: final energy -25.37 eV per formula unit. Number 2: final energy -72.61 eV per formula unit. Number 3: final energy -18.95 eV per formula unit. Number 4: final energy -10.59 eV per formula unit. Number 5: final energy -18.43 eV per formula unit. Number 6: final energy -80.53 eV per formula unit. Number 7: final energy -10.72 eV per formula unit. Number 8: final energy -26.82 eV per formula unit. Number 9: final energy -21.97 eV per formula unit. Number 10: final energy -49.65 eV per formula unit. Number 11: final energy -10.39 eV per formula unit. Number 12: final energy -14.56 eV per formula unit. Number 13: final energy -14.04 eV per formula unit. Number 14: final energy -10.57 eV per formula unit. Number 15: final energy -36.23 eV per formula unit. Number 16: final energy -20.92 eV per formula unit. Number 17: final energy -36.62 eV per formula unit. Number 18: final energy -14.61 eV per formula unit. Number 19: final energy -23.11 eV per formula unit. Number 20: final energy -42.27 eV per formula unit.